Computed, not measured: a relaxed structure of Sm7Cd4Pb at the PBE-GGA level of DFT.

Summary:
density of states at the Fermi level: 24.7 states/eV/cell
energy relative to the elements: -152 meV/atom
total energy: -84.5 eV/cell
M_tot: 0.0002 μB/atom

abc: 14.909 5.938 9.387
angles: 90.00 119.89 90.00
Space group C2/m (No. 12)
One atom of each set of equivalent atoms:
Sm 0.000 0.000 0.000 [2 per cell]
Sm 0.074 0.500 0.410 [4 per cell]
Sm 0.180 0.500 0.877 [4 per cell]
Sm 0.235 0.000 0.701 [4 per cell]
Cd 0.025 0.000 0.679 [4 per cell]
Cd 0.189 0.000 0.339 [4 per cell]
Pb 0.000 0.500 0.000 [2 per cell]

=====

Computed, not measured: a relaxed structure of Sm2CdPb at the PBE-GGA level of DFT.

Summary:
density of states at the Fermi level: 13.0 states/eV/cell
energy relative to the elements: -26 meV/atom
total energy: -42.5 eV/cell
M_tot: 0.0000 μB/atom

abc: 3.5629 3.5629 34.7552
angles: 90.00 90.00 120.00
Space group R-3m (No. 166, hexagonal axes)
One atom of each set of equivalent atoms:
Sm 0.0000 0.0000 0.0930 [6 per cell]
Cd 0.0000 0.0000 0.5000 [3 per cell]
Pb 0.0000 0.0000 0.0000 [3 per cell]

=====

Computed, not measured: a relaxed structure of Sm2CdPb at the PBE-GGA level of DFT.

Summary:
density of states at the Fermi level: 2.8 states/eV/cell
energy relative to the elements: -432 meV/atom
total energy: -15.8 eV/cell
M_tot: 0.0000 μB/atom

abc: 5.120 5.120 4.334
angles: 90.00 90.00 90.00
Space group P4/mmm (No. 123)
One atom of each set of equivalent atoms:
Sm 0.000 0.500 0.000 [2 per cell]
Cd 0.000 0.000 0.500 [1 per cell]
Pb 0.500 0.500 0.500 [1 per cell]

=====

Computed, not measured: a relaxed structure of Sm4CdPb3 at the PBE-GGA level of DFT.

Summary:
density of states at the Fermi level: 15.4 states/eV/cell
energy relative to the elements: -452 meV/atom
total energy: -69.1 eV/cell
M_tot: 0.0000 μB/atom

abc: 5.082 5.082 17.885
angles: 90.00 90.00 90.00
Space group I4/mmm (No. 139)
One atom of each set of equivalent atoms:
Sm 0.000 0.500 0.123 [8 per cell]
Cd 0.000 0.000 0.000 [2 per cell]
Pb 0.000 0.000 0.249 [4 per cell]
Pb 0.000 0.000 0.500 [2 per cell]

=====

Computed, not measured: a relaxed structure of Sm6CdPb5 at the PBE-GGA level of DFT.

Summary:
density of states at the Fermi level: 10.0 states/eV/cell
energy relative to the elements: -468 meV/atom
total energy: -53.4 eV/cell
M_tot: 0.0000 μB/atom

abc: 5.105 8.888 8.104
angles: 90.00 108.29 90.00
Space group P2/m (No. 10)
One atom of each set of equivalent atoms:
Sm 0.000 0.249 0.000 [2 per cell]
Sm 0.333 0.244 0.666 [4 per cell]
Cd 0.500 0.000 0.000 [1 per cell]
Pb 0.160 0.000 0.321 [2 per cell]
Pb 0.169 0.500 0.336 [2 per cell]
Pb 0.500 0.500 0.000 [1 per cell]

=====

Computed, not measured: a relaxed structure of SmCd4Pb at the PBE-GGA level of DFT.

Summary:
energy above the lowest structure with this stoichiometry: 0 meV per atom
density of states at the Fermi level: 6.8 states/eV/cell
energy relative to the elements: -226 meV/atom
total energy: -53.8 eV/cell
M_tot: 0.0000 μB/atom

abc: 6.595 17.931 5.118
angles: 90.00 90.00 90.00
Space group Cmcm (No. 63)
One atom of each set of equivalent atoms:
Sm 0.000 0.122 0.250 [4 per cell]
Cd 0.239 0.043 0.750 [8 per cell]
Cd 0.245 0.210 0.750 [8 per cell]
Pb 0.000 0.380 0.750 [4 per cell]